A plane-wave DFT calculation with PBE with a Hubbard U was carried out for crystalline BaFe2IrO8 at its relaxed geometry.

a = 4.649 Å, b = 4.651 Å, c = 7.539 Å
α = 89.94°, β = 89.85°, γ = 88.12°
Sites, in units of the cell vectors:
Ba (0.000, 0.000, 0.000)
Fe (0.483, 0.483, 0.312)
Fe (0.517, 0.517, 0.688)
Ir (0.000, 0.000, 0.500)
O (0.196, 0.791, 0.691)
O (0.209, 0.804, 0.309)
O (0.291, 0.291, 0.506)
O (0.407, 0.405, 0.052)
O (0.593, 0.595, 0.948)
O (0.709, 0.709, 0.494)
O (0.791, 0.196, 0.691)
O (0.804, 0.209, 0.309)

Computed properties:
Energy in eV per atom: -6.34
Space group: No. 2
V in Å³ per cell: 162.95